[1]
# InHO2

A relaxed structure of InHO2 (PBE-GGA, Alexandria via LeMat-Bulk).

Structure (POSCAR):
```
InHO2
1.0
5.314 0.000 0.000
0.000 5.314 0.000
0.000 0.000 5.314
In H O
4 4 8
direct
0.000 0.000 0.000 In
0.000 0.500 0.500 In
0.500 0.000 0.500 In
0.500 0.500 0.000 In
0.000 0.000 0.500 H
0.000 0.500 0.000 H
0.500 0.000 0.000 H
0.500 0.500 0.500 H
0.250 0.250 0.250 O
0.250 0.250 0.750 O
0.250 0.750 0.250 O
0.250 0.750 0.750 O
0.750 0.250 0.250 O
0.750 0.250 0.750 O
0.750 0.750 0.250 O
0.750 0.750 0.750 O
```

Output
V in Å³/atom: 9.4
Total energy in eV/atom: -4.13
M_tot in μB per formula unit: 0.0

***

[2]
# ErSc3Co

A relaxed structure of ErSc3Co (PBE-GGA, Alexandria via LeMat-Bulk).

Structure (POSCAR):
```
ErSc3Co
1.0
4.922 0.000 0.000
0.000 4.922 0.000
0.000 0.000 4.922
Er Sc Co
1 3 1
direct
0.000 0.000 0.000 Er
0.000 0.500 0.500 Sc
0.500 0.000 0.500 Sc
0.500 0.500 0.000 Sc
0.500 0.500 0.500 Co
```

Output
Formation energy from the elements in meV/atom: -78.2
V in Å³/atom: 23.8
Relative energy among the computed polymorphs in meV per atom: 42
M_tot in μB per formula unit: 0.0

***

[3]
# RbHg2Pb2Au2

A relaxed structure of RbHg2Pb2Au2 (PBE-GGA, Alexandria via LeMat-Bulk).

Structure (POSCAR):
```
RbHg2Pb2Au2
1.0
2.404 1.388 10.667
-2.404 1.388 10.667
0.000 -2.776 10.667
Rb Hg Pb Au
1 2 2 2
direct
0.000 0.000 0.000 Rb
0.260 0.260 0.260 Hg
0.740 0.740 0.740 Hg
0.137 0.137 0.137 Pb
0.863 0.863 0.863 Pb
0.433 0.433 0.433 Au
0.567 0.567 0.567 Au
```

Output
Formation energy from the elements in meV/atom: -102.8
V in Å³/atom: 30.5
M_tot in μB per formula unit: 0.0

***

[4]
# BaIrPd2Cl

A relaxed structure of BaIrPd2Cl (PBE-GGA, Alexandria via LeMat-Bulk).

Structure (POSCAR):
```
BaIrPd2Cl
1.0
5.488 0.000 0.000
0.000 5.488 0.000
0.000 0.000 5.323
Ba Ir Pd Cl
1 1 2 1
direct
0.000 0.000 0.000 Ba
0.000 0.000 0.500 Ir
0.000 0.500 0.000 Pd
0.500 0.000 0.000 Pd
0.500 0.500 0.500 Cl
```

Output
V in Å³/atom: 32.1
Total energy in eV/atom: -3.12
M_tot in μB per formula unit: 1.3

***

[5]
# Cu2Pd8Rh

A relaxed structure of Cu2Pd8Rh (PBE-GGA, Alexandria via LeMat-Bulk).

Structure (POSCAR):
```
Cu2Pd8Rh
1.0
5.815 -3.495 0.000
5.815 3.495 0.000
-1.128 0.000 4.486
Cu Pd Rh
2 8 1
direct
0.117 0.117 0.028 Cu
0.883 0.883 0.972 Cu
0.224 0.224 0.583 Pd
0.239 0.625 0.715 Pd
0.352 0.352 0.166 Pd
0.375 0.761 0.285 Pd
0.625 0.239 0.715 Pd
0.648 0.648 0.834 Pd
0.761 0.375 0.285 Pd
0.776 0.776 0.417 Pd
0.000 0.000 0.500 Rh
```

Output
Formation energy from the elements in meV/atom: 302.1
V in Å³/atom: 16.6
Relative energy among the computed polymorphs in meV per atom: 308
M_tot in μB per formula unit: 0.0

***

[6]
# LiMg8In2

A relaxed structure of LiMg8In2 (PBE-GGA, Alexandria via LeMat-Bulk).

Structure (POSCAR):
```
LiMg8In2
1.0
7.649 -2.970 0.000
7.649 2.970 0.000
-1.056 0.000 5.731
Li Mg In
1 8 2
direct
0.000 0.000 0.000 Li
0.171 0.661 0.595 Mg
0.249 0.249 0.345 Mg
0.339 0.829 0.405 Mg
0.408 0.408 0.085 Mg
0.592 0.592 0.915 Mg
0.661 0.171 0.595 Mg
0.751 0.751 0.655 Mg
0.829 0.339 0.405 Mg
0.194 0.194 0.832 In
0.806 0.806 0.168 In
```

Output
Formation energy from the elements in meV/atom: 33.7
V in Å³/atom: 23.7
Relative energy among the computed polymorphs in meV per atom: 29
M_tot in μB per formula unit: 0.0

***

[7]
# La8NiRu3Cl4

A relaxed structure of La8NiRu3Cl4 (PBE-GGA, Alexandria via LeMat-Bulk).

Structure (POSCAR):
```
La8NiRu3Cl4
1.0
4.114 2.375 7.695
-4.114 2.375 7.695
0.000 -4.750 7.695
La Ni Ru Cl
8 1 3 4
direct
0.229 0.737 0.737 La
0.236 0.236 0.236 La
0.263 0.263 0.771 La
0.263 0.771 0.263 La
0.737 0.229 0.737 La
0.737 0.737 0.229 La
0.764 0.764 0.764 La
0.771 0.263 0.263 La
0.500 0.500 0.500 Ni
0.000 0.000 0.500 Ru
0.000 0.500 0.000 Ru
0.500 0.000 0.000 Ru
0.000 0.000 0.000 Cl
0.000 0.500 0.500 Cl
0.500 0.000 0.500 Cl
0.500 0.500 0.000 Cl
```

Output
V in Å³/atom: 28.2
Total energy in eV/atom: -6.06
M_tot in μB per formula unit: 0.0

***

[8]
# Fe5Ni

A relaxed structure of Fe5Ni (PBE-GGA, Alexandria via LeMat-Bulk).

Structure (POSCAR):
```
Fe5Ni
1.0
9.687 0.000 0.000
0.000 2.438 0.000
-1.551 0.000 5.948
Fe Ni
10 2
direct
0.000 0.000 0.000 Fe
0.065 0.000 0.641 Fe
0.163 0.500 0.335 Fe
0.330 0.000 0.672 Fe
0.397 0.000 0.298 Fe
0.500 0.500 0.000 Fe
0.565 0.500 0.641 Fe
0.663 0.000 0.335 Fe
0.830 0.500 0.672 Fe
0.897 0.500 0.298 Fe
0.231 0.500 0.967 Ni
0.731 0.000 0.967 Ni
```

Output
Formation energy from the elements in meV/atom: 109.8
V in Å³/atom: 11.7
Relative energy among the computed polymorphs in meV per atom: 91
M_tot in μB per formula unit: 13.1